(1)
Computed, not measured: crystalline NpNb6Se8 at its relaxed geometry at the PBE-GGA level of DFT.

Cell: 6.8824 6.8824 6.8824 Å, 86.97 86.97 86.97°
Last column: nearest neighbours and their distance in Å.
Element x y z (fractional)
Np 0.0000 0.0000 0.0000  8 Se 2.91-3.15
Nb 0.5844 0.4471 0.7916  5 Se 2.59-2.70, 2 Nb 2.85
Nb 0.4471 0.7916 0.5844  5 Se 2.59-2.70, 2 Nb 2.85
Nb 0.7916 0.5844 0.4471  5 Se 2.59-2.70, 2 Nb 2.85
Nb 0.4156 0.5529 0.2084  5 Se 2.59-2.70, 2 Nb 2.85
Nb 0.5529 0.2084 0.4156  5 Se 2.59-2.70, 2 Nb 2.85
Nb 0.2084 0.4156 0.5529  5 Se 2.59-2.70, 2 Nb 2.85
Se 0.7678 0.7678 0.7678  3 Nb 2.59
Se 0.2322 0.2322 0.2322  3 Nb 2.59
Se 0.6157 0.8738 0.2304  4 Nb 2.68-2.70
Se 0.8738 0.2304 0.6157  4 Nb 2.68-2.70
Se 0.2304 0.6157 0.8738  4 Nb 2.68-2.70
Se 0.3843 0.1262 0.7696  4 Nb 2.68-2.70
Se 0.1262 0.7696 0.3843  4 Nb 2.68-2.70
Se 0.7696 0.3843 0.1262  4 Nb 2.68-2.70

## Properties
Symmetry ... R-3, No. 148
Formation energy (no corrections) ... -0.743 eV per atom
Crystal system ... trigonal


(2)
Computed, not measured: crystalline NpNbSe3 at its relaxed geometry at the PBE-GGA level of DFT.

Cell: 3.6889 8.3339 14.2682 Å, 90.00 90.00 90.00°
Last column: nearest neighbours and their distance in Å.
Element x y z (fractional)
Np 0.2500 0.8702 0.3124  8 Se 2.88-3.11
Np 0.7500 0.1298 0.6876  8 Se 2.88-3.11
Np 0.7500 0.6298 0.8124  8 Se 2.88-3.11
Np 0.2500 0.3702 0.1876  8 Se 2.88-3.11
Nb 0.2500 0.6316 0.5355  6 Se 2.54-2.79
Nb 0.7500 0.3684 0.4645  6 Se 2.54-2.79
Nb 0.7500 0.8684 0.0355  6 Se 2.54-2.79
Nb 0.2500 0.1316 0.9645  6 Se 2.54-2.79
Se 0.7500 0.1699 0.3071  1 Nb 2.79, 4 Np 3.02-3.11
Se 0.2500 0.6589 0.9727  2 Nb 2.69, 2 Np 2.95
Se 0.2500 0.0213 0.1306  3 Nb 2.54-2.62
Se 0.2500 0.5213 0.3694  3 Nb 2.54-2.62
Se 0.2500 0.1589 0.5273  2 Nb 2.69, 2 Np 2.95
Se 0.7500 0.4787 0.6306  3 Nb 2.54-2.62
Se 0.2500 0.3301 0.8071  1 Nb 2.79, 4 Np 3.02-3.11
Se 0.7500 0.9787 0.8694  3 Nb 2.54-2.62
Se 0.7500 0.3411 0.0273  2 Nb 2.69, 2 Np 2.95
Se 0.7500 0.6699 0.1929  1 Nb 2.79, 4 Np 3.02-3.11
Se 0.7500 0.8411 0.4727  2 Nb 2.69, 2 Np 2.95
Se 0.2500 0.8301 0.6929  1 Nb 2.79, 4 Np 3.02-3.11

## Properties
Symmetry ... Pnma, No. 62
Formation energy (no corrections) ... -0.957 eV per atom
Crystal system ... orthorhombic


(3)
Computed, not measured: crystalline Np3Nb4Se12 at its relaxed geometry at the PBE-GGA level of DFT.

Cell: 8.6929 8.6929 8.6929 Å, 109.47 109.47 109.47°
Last column: nearest neighbours and their distance in Å.
Element x y z (fractional)
Np 0.5000 0.0000 0.5000  4 Se 2.85
Np 0.5000 0.5000 0.0000  4 Se 2.85
Np 0.0000 0.5000 0.5000  4 Se 2.85
Nb 0.0000 0.0000 0.5000  6 Se 2.61
Nb 0.5000 0.5000 0.5000  6 Se 2.61
Nb 0.5000 0.0000 0.0000  6 Se 2.61
Nb 0.0000 0.5000 0.0000  6 Se 2.61
Se 0.6968 0.4920 0.7952  2 Nb 2.61, 1 Np 2.85
Se 0.3032 0.5080 0.2048  2 Nb 2.61, 1 Np 2.85
Se 0.3032 0.0985 0.7952  2 Nb 2.61, 1 Np 2.85
Se 0.4920 0.7952 0.6968  2 Nb 2.61, 1 Np 2.85
Se 0.7952 0.3032 0.0985  2 Nb 2.61, 1 Np 2.85
Se 0.2048 0.3032 0.5080  2 Nb 2.61, 1 Np 2.85
Se 0.0985 0.7952 0.3032  2 Nb 2.61, 1 Np 2.85
Se 0.2048 0.6968 0.9015  2 Nb 2.61, 1 Np 2.85
Se 0.6968 0.9015 0.2048  2 Nb 2.61, 1 Np 2.85
Se 0.5080 0.2048 0.3032  2 Nb 2.61, 1 Np 2.85
Se 0.7952 0.6968 0.4920  2 Nb 2.61, 1 Np 2.85
Se 0.9015 0.2048 0.6968  2 Nb 2.61, 1 Np 2.85

## Properties
Symmetry ... Im-3, No. 204
Formation energy (no corrections) ... -0.695 eV per atom
Crystal system ... cubic


(4)
Computed, not measured: crystalline NpNb2Se6 at its relaxed geometry at the PBE-GGA level of DFT.

Cell: 3.5452 9.1147 7.0112 Å, 61.75 75.36 78.79°
Last column: nearest neighbours and their distance in Å.
Element x y z (fractional)
Np 0.0000 0.5000 0.5000  2 Se 2.73
Nb 0.8765 0.0808 0.1661  8 Se 2.56-2.81
Nb 0.1235 0.9192 0.8339  8 Se 2.56-2.81
Se 0.4892 0.8324 0.1891  4 Nb 2.79-2.81, 1 Se 2.95
Se 0.5108 0.1676 0.8109  4 Nb 2.79-2.81, 1 Se 2.95
Se 0.8285 0.4001 0.9429  1 Nb 2.56, 1 Np 2.73, 2 Se 2.86
Se 0.2122 0.1714 0.4041  3 Nb 2.75-2.78
Se 0.1715 0.5999 0.0571  1 Nb 2.56, 1 Np 2.73, 2 Se 2.86
Se 0.7878 0.8286 0.5959  3 Nb 2.75-2.78

## Properties
Symmetry ... C2/m, No. 12
Formation energy (no corrections) ... -0.558 eV per atom
Crystal system ... monoclinic


(5)
Computed, not measured: crystalline NpNb3Se6 at its relaxed geometry at the PBE-GGA level of DFT.

Cell: 3.6709 11.0159 11.1725 Å, 109.86 90.00 90.00°
Last column: nearest neighbours and their distance in Å.
Element x y z (fractional)
Np 0.7500 0.0479 0.6965  8 Se 2.84-3.15
Np 0.2500 0.9521 0.3035  8 Se 2.84-3.15
Nb 0.7500 0.4596 0.8823  5 Se 2.57-2.77
Nb 0.2500 0.5404 0.1177  5 Se 2.57-2.77
Nb 0.7500 0.6785 0.5096  7 Se 2.62-2.79
Nb 0.2500 0.3215 0.4904  7 Se 2.62-2.79
Nb 0.7500 0.1124 0.0648  6 Se 2.58-2.79
Nb 0.2500 0.8876 0.9352  6 Se 2.58-2.79
Se 0.7500 0.4892 0.6234  3 Nb 2.67-2.79
Se 0.2500 0.5108 0.3766  3 Nb 2.67-2.79
Se 0.7500 0.8897 0.0977  3 Nb 2.58-2.60, 2 Np 2.84
Se 0.2500 0.1103 0.9023  3 Nb 2.58-2.60, 2 Np 2.84
Se 0.7500 0.3669 0.0693  4 Nb 2.57-2.79
Se 0.2500 0.6331 0.9307  4 Nb 2.57-2.79
Se 0.7500 0.7110 0.2727  3 Nb 2.77-2.79
Se 0.2500 0.2890 0.7273  3 Nb 2.77-2.79
Se 0.7500 0.1355 0.4752  2 Nb 2.71, 3 Np 2.92-2.94
Se 0.2500 0.8645 0.5248  2 Nb 2.71, 3 Np 2.92-2.94
Se 0.7500 0.8067 0.7545  3 Nb 2.62-2.65
Se 0.2500 0.1933 0.2455  3 Nb 2.62-2.65

## Properties
Symmetry ... P2_1/m, No. 11
Formation energy (no corrections) ... -0.813 eV per atom
Crystal system ... monoclinic


(6)
Computed, not measured: crystalline NpNb2Si at its relaxed geometry at the PBE-GGA level of DFT.

Cell: 2.8890 2.8890 10.3370 Å, 81.97 81.97 60.00°
Last column: nearest neighbours and their distance in Å.
Element x y z (fractional)
Np 0.0000 0.0000 0.0000  6 Np 2.89, 2 Nb 2.92
Nb 0.0954 0.0954 0.7139  3 Si 2.75, 6 Nb 2.89, 1 Np 2.92
Nb 0.9046 0.9046 0.2861  3 Si 2.75, 6 Nb 2.89, 1 Np 2.92
Si 0.5000 0.5000 0.5000  6 Nb 2.75, 6 Si 2.89

## Properties
Symmetry ... R-3m, No. 166
Formation energy (no corrections) ... 0.315 eV per atom
Crystal system ... trigonal


(7)
Computed, not measured: crystalline NpNbSi at its relaxed geometry at the PBE-GGA level of DFT.

Cell: 4.6996 4.6996 5.6085 Å, 100.20 100.20 65.95°
Last column: nearest neighbours and their distance in Å.
Element x y z (fractional)
Si 0.0822 0.5231 0.3115  2 Nb 2.64-2.81, 5 Np 2.79-2.95
Si 0.4769 0.9178 0.6885  2 Nb 2.64-2.81, 5 Np 2.79-2.95
Np 0.4012 0.8421 0.1725  1 Np 2.42
Np 0.1579 0.5988 0.8275  1 Np 2.42
Nb 0.7795 0.2205 0.5000  2 Nb 2.80, 6 Si 2.81-3.06
Nb 0.7795 0.2205 0.0000  2 Si 2.64, 2 Nb 2.80, 4 Np 2.83

## Properties
Symmetry ... C2/m, No. 12
Formation energy (no corrections) ... 0.071 eV per atom
Crystal system ... monoclinic


(8)
Computed, not measured: crystalline Np2Nb3Si4 at its relaxed geometry at the PBE-GGA level of DFT.

Cell: 6.8851 7.0410 7.0480 Å, 90.00 90.00 109.46°
Last column: nearest neighbours and their distance in Å.
Element x y z (fractional)
Np 0.5612 0.1809 0.3367  7 Si 2.82-3.05
Np 0.9388 0.8191 0.8367  7 Si 2.82-3.05
Np 0.4388 0.8191 0.6633  7 Si 2.82-3.05
Np 0.0612 0.1809 0.1633  7 Si 2.82-3.05
Nb 0.0000 0.5000 0.5000  6 Si 2.72-2.78, 2 Nb 3.04
Nb 0.5000 0.5000 0.0000  6 Si 2.72-2.78, 2 Nb 3.04
Nb 0.7489 0.2527 0.8239  6 Si 2.61-2.69
Nb 0.7511 0.7473 0.3239  6 Si 2.61-2.69
Nb 0.2511 0.7473 0.1761  6 Si 2.61-2.69
Nb 0.2489 0.2527 0.6761  6 Si 2.61-2.69
Si 0.8685 0.0831 0.5377  1 Si 2.52, 4 Nb 2.61-2.78, 1 Np 2.82
Si 0.6315 0.9169 0.0377  1 Si 2.52, 4 Nb 2.61-2.78, 1 Np 2.82
Si 0.1315 0.9169 0.4623  1 Si 2.52, 4 Nb 2.61-2.78, 1 Np 2.82
Si 0.3685 0.0831 0.9623  1 Si 2.52, 4 Nb 2.61-2.78, 1 Np 2.82
Si 0.8695 0.4909 0.1275  1 Si 2.51, 5 Nb 2.61-2.77
Si 0.6305 0.5091 0.6275  1 Si 2.51, 5 Nb 2.61-2.77
Si 0.1305 0.5091 0.8725  1 Si 2.51, 5 Nb 2.61-2.77
Si 0.3695 0.4909 0.3725  1 Si 2.51, 5 Nb 2.61-2.77

## Properties
Symmetry ... P2_1/c, No. 14
Formation energy (no corrections) ... -0.532 eV per atom
Crystal system ... monoclinic


(9)
Computed, not measured: crystalline NpNb2Sn at its relaxed geometry at the PBE-GGA level of DFT.

Cell: 3.7299 4.6350 4.6350 Å, 90.00 90.00 90.00°
Last column: nearest neighbours and their distance in Å.
Element x y z (fractional)
Np 0.5000 0.5000 0.5000  8 Nb 2.97, 4 Sn 3.28
Nb 0.0000 0.0000 0.5000  4 Np 2.97, 4 Sn 2.97, 4 Nb 3.28
Nb 0.0000 0.5000 0.0000  4 Np 2.97, 4 Sn 2.97, 4 Nb 3.28
Sn 0.5000 0.0000 0.0000  8 Nb 2.97, 4 Np 3.28

## Properties
Symmetry ... P4/mmm, No. 123
ΔH_f (0 K) ... 91 meV/atom
Crystal system ... tetragonal
Energy above the most stable polymorph in this dataset ... 0.00 kcal/mol of atoms


(10)
Computed, not measured: crystalline NpNbSn2 at its relaxed geometry at the PBE-GGA level of DFT.

Cell: 3.1094 3.1094 11.3476 Å, 82.13 82.13 60.00°
Last column: nearest neighbours and their distance in Å.
Element x y z (fractional)
Np 0.0000 0.0000 0.0000  6 Np 3.11, 2 Sn 3.19
Nb 0.5000 0.5000 0.5000  6 Sn 3.00, 6 Nb 3.11
Sn 0.0950 0.0950 0.7151  3 Nb 3.00, 6 Sn 3.11, 1 Np 3.19
Sn 0.9050 0.9050 0.2849  3 Nb 3.00, 6 Sn 3.11, 1 Np 3.19

## Properties
Symmetry ... R-3m, No. 166
ΔH_f (0 K) ... 255 meV/atom
Crystal system ... trigonal


| no. | N(E_F) (states/eV/cell) | raw total energy (eV per atom) |
| --- | --- | --- |
| 1 | 18.810 | -7.492 |
| 2 | 27.935 | -7.650 |
| 3 | 29.661 | -7.059 |
| 4 | 9.636 | -6.556 |
| 5 | 23.558 | -7.218 |
| 6 | 6.658 | -9.311 |
| 7 | 9.556 | -9.407 |
| 8 | 23.381 | -9.175 |
| 9 | 6.965 | -9.179 |
| 10 | 3.124 | -7.499 |